Entry 1:
ZnOF3 | Alexandria via LeMat-Bulk | GGA-PBE | optimized geometry; energy = -3.72 eV/atom; SG = P2/c, No. 13
1.0
4.1518 0.0000 0.0000
0.0000 8.8033 0.0000
-3.7891 0.0000 8.2238
Zn O F
4 4 12
Direct
0.1140 0.1461 0.1015
0.1140 0.8539 0.6015
0.8860 0.1461 0.3985
0.8860 0.8539 0.8985
0.1309 0.3787 0.8112
0.1309 0.6213 0.3112
0.8691 0.3787 0.6888
0.8691 0.6213 0.1888
0.0532 0.3520 0.0258
0.0532 0.6480 0.5258
0.1336 0.0778 0.6257
0.1336 0.9222 0.1257
0.3389 0.1636 0.3465
0.3389 0.8364 0.8465
0.6611 0.1636 0.1535
0.6611 0.8364 0.6535
0.8664 0.0778 0.8743
0.8664 0.9222 0.3743
0.9468 0.3520 0.4742
0.9468 0.6480 0.9742

---

Entry 2:
YZn2Ni5 | Alexandria via LeMat-Bulk | GGA-PBE | optimized geometry; formation energy = -0.17 eV/atom; energy = -4.91 eV/atom; SG = Immm, No. 71
1.0
-1.8368 3.1927 4.8883
1.8368 -3.1927 4.8883
1.8368 3.1927 -4.8883
Y Zn Ni
1 2 5
Direct
0.0000 0.0000 0.0000
0.2574 0.7574 0.5000
0.7426 0.2426 0.5000
0.1836 0.3738 0.8098
0.4359 0.6262 0.8098
0.5000 0.0000 0.5000
0.5641 0.3738 0.1902
0.8164 0.6262 0.1902

---

Entry 3:
LaHg2Mo | Alexandria via LeMat-Bulk | GGA-PBE | optimized geometry; formation energy = 0.24 eV/atom; energy = -3.85 eV/atom; SG = Pmmm, No. 47
1.0
3.1709 0.0000 0.0000
0.0000 4.2734 0.0000
0.0000 0.0000 6.7245
La Hg Mo
1 2 1
Direct
0.0000 0.0000 0.0000
0.5000 0.5000 0.2879
0.5000 0.5000 0.7121
0.0000 0.0000 0.5000

---

Entry 4:
Er2InS5 | Alexandria via LeMat-Bulk | GGA-PBE | optimized geometry; energy = -5.35 eV/atom; SG = Cmcm, No. 63
1.0
2.6776 -6.7253 0.0000
2.6776 6.7253 0.0000
0.0000 0.0000 12.1618
Er In S
4 2 10
Direct
0.1627 0.8373 0.5688
0.1627 0.8373 0.9312
0.8373 0.1627 0.0688
0.8373 0.1627 0.4312
0.1788 0.8212 0.2500
0.8212 0.1788 0.7500
0.0327 0.9673 0.1022
0.0327 0.9673 0.3978
0.2794 0.7206 0.7500
0.3060 0.6940 0.0854
0.3060 0.6940 0.4146
0.6940 0.3060 0.5854
0.6940 0.3060 0.9146
0.7206 0.2794 0.2500
0.9673 0.0327 0.6022
0.9673 0.0327 0.8978

---

Entry 5:
CaLa2GaOs | Alexandria via LeMat-Bulk | GGA-PBE | optimized geometry; formation energy = -0.13 eV/atom; energy = -5.35 eV/atom; SG = P4/mmm, No. 123
1.0
5.5955 0.0000 0.0000
0.0000 5.5955 0.0000
0.0000 0.0000 5.0309
Ca La Ga Os
1 2 1 1
Direct
0.0000 0.0000 0.0000
0.0000 0.5000 0.5000
0.5000 0.0000 0.5000
0.5000 0.5000 0.0000
0.5000 0.5000 0.5000

---

Entry 6:
CsCdPbF2 | Alexandria via LeMat-Bulk | GGA-PBE | optimized geometry; energy = -3.23 eV/atom; SG = P4/mmm, No. 123
1.0
5.0546 0.0000 0.0000
0.0000 5.0546 0.0000
0.0000 0.0000 6.0359
Cs Cd Pb F
1 1 1 2
Direct
0.0000 0.0000 0.0000
0.5000 0.5000 0.0000
0.5000 0.5000 0.5000
0.0000 0.5000 0.5000
0.5000 0.0000 0.5000

---

Entry 7:
Th2ScHg6 | Alexandria via LeMat-Bulk | GGA-PBE | optimized geometry; formation energy = -0.24 eV/atom; energy = -2.80 eV/atom; SG = P6/mmm, No. 191
1.0
8.7124 0.0000 0.0000
-4.3562 7.5452 0.0000
0.0000 0.0000 3.3550
Th Sc Hg
2 1 6
Direct
0.3333 0.6667 0.0000
0.6667 0.3333 0.0000
0.0000 0.0000 0.0000
0.0000 0.3268 0.5000
0.0000 0.6732 0.5000
0.3268 0.0000 0.5000
0.3268 0.3268 0.5000
0.6732 0.0000 0.5000
0.6732 0.6732 0.5000

---

Entry 8:
NbAgSb2I | Alexandria via LeMat-Bulk | GGA-PBE | optimized geometry; energy = -4.03 eV/atom; SG = P4/mmm, No. 123
1.0
5.3575 0.0000 0.0000
0.0000 5.3575 0.0000
0.0000 0.0000 5.7109
Nb Ag Sb I
1 1 2 1
Direct
0.0000 0.0000 0.0000
0.5000 0.5000 0.5000
0.0000 0.5000 0.0000
0.5000 0.0000 0.0000
0.0000 0.0000 0.5000

---

Entry 9:
LiAl2Si2 | Alexandria via LeMat-Bulk | GGA-PBE | optimized geometry; energy = -4.06 eV/atom; SG = I4/mmm, No. 139
1.0
-2.1471 2.1471 5.0349
2.1471 -2.1471 5.0349
2.1471 2.1471 -5.0349
Li Al Si
1 2 2
Direct
0.0000 0.0000 0.0000
0.2500 0.7500 0.5000
0.7500 0.2500 0.5000
0.3833 0.3833 0.0000
0.6167 0.6167 0.0000

---

Entry 10:
CaMg14Cu | Alexandria via LeMat-Bulk | GGA-PBE | optimized geometry; formation energy = 0.02 eV/atom; energy = -1.76 eV/atom; SG = P-6m2, No. 187
1.0
6.3967 0.0000 0.0000
-3.1984 5.5397 0.0000
0.0000 0.0000 10.3681
Ca Mg Cu
1 14 1
Direct
0.0000 0.0000 0.0000
0.0099 0.5050 0.0000
0.1635 0.3270 0.2673
0.1635 0.3270 0.7327
0.1635 0.8365 0.2673
0.1635 0.8365 0.7327
0.4950 0.5050 0.0000
0.4950 0.9901 0.0000
0.5041 0.0083 0.5000
0.5041 0.4959 0.5000
0.6667 0.3333 0.2400
0.6667 0.3333 0.7600
0.6730 0.8365 0.2673
0.6730 0.8365 0.7327
0.9917 0.4959 0.5000
0.0000 0.0000 0.5000

---

Entry 11:
K4RbNa2Hg | Alexandria via LeMat-Bulk | GGA-PBE | optimized geometry; formation energy = -0.04 eV/atom; energy = -1.08 eV/atom; SG = P2/m, No. 10
1.0
6.1128 0.0000 0.0000
0.0000 6.1846 0.0000
-0.0046 0.0000 11.4831
K Rb Na Hg
4 1 2 1
Direct
0.0005 0.0000 0.2942
0.4991 0.5000 0.7055
0.5009 0.5000 0.2945
0.9995 0.0000 0.7058
0.5000 0.0000 0.0000
0.0000 0.5000 0.0000
0.5000 0.0000 0.5000
0.0000 0.5000 0.5000

---

Entry 12:
Ag5PdS4 | Alexandria via LeMat-Bulk | GGA-PBE | optimized geometry; energy = -3.59 eV/atom; SG = C2/m, No. 12
1.0
8.4828 -1.8255 0.0000
8.4828 1.8255 0.0000
-2.3851 0.0000 6.2206
Ag Pd S
5 1 4
Direct
0.0000 0.0000 0.0000
0.3034 0.3034 0.9292
0.3154 0.3154 0.3791
0.6846 0.6846 0.6209
0.6966 0.6966 0.0708
0.0000 0.0000 0.5000
0.1537 0.1537 0.2910
0.4418 0.4418 0.2675
0.5582 0.5582 0.7325
0.8463 0.8463 0.7090

---

no.,M_tot (μB/atom),ρ (kg/m³)
1,0.2052,3058
2,0.0000,7432
3,0.0860,11591
4,0.0000,4623
5,0.0000,6092
6,0.0000,5282
7,0.0002,12894
8,0.0000,5786
9,0.0000,2094
10,0.0000,2006
11,0.0000,1868
12,0.0000,6671